No. 1
This record from the Alexandria database describes YSc2Zn at its PBEsol-relaxed geometry. The functional is meta-GGA SCAN.

The calculation puts the calculated formation energy at -0.7 eV per formula unit.

The space group is Imm2 (No. 44) and the conventional cell measures 3.500, 4.859 and 10.565 Å, with angles of 90.00, 90.00 and 90.00 degrees. The inequivalent atoms are Y at (0.000, 0.000, 0.000), Sc at (0.000, 0.000, 0.430), Sc at (0.000, 0.500, 0.217) and Zn at (0.000, 0.500, 0.728).


No. 2
This record from the Alexandria database describes CoMoOs2 at its PBEsol-relaxed geometry. The functional is meta-GGA SCAN.

The calculation puts the calculated formation energy at 1.5 eV per formula unit.

The space group is F-43m (No. 216) and the conventional cell measures 6.019, 6.019 and 6.019 Å, with angles of 90.00, 90.00 and 90.00 degrees. The inequivalent atoms are Co at (0.000, 0.000, 0.000), Mo at (0.250, 0.250, 0.750), Os at (0.000, 0.000, 0.500) and Os at (0.250, 0.250, 0.250).


No. 3
This record from the Alexandria database describes HfHF2 at its PBEsol-relaxed geometry. The functional is meta-GGA SCAN.

The total DFT energy (no corrections) is -20.3368 eV/atom.

The space group is I-42d (No. 122) and the conventional cell measures 3.321, 3.321 and 14.379 Å, with angles of 90.00, 90.00 and 90.00 degrees. The inequivalent atoms are Hf at (0.000, 0.000, 0.000), H at (0.000, 0.000, 0.500) and F at (0.227, 0.250, 0.125).


No. 4
This record from the Alexandria database describes BaNaSe2Br at its PBEsol-relaxed geometry. The functional is meta-GGA SCAN.

The calculation puts the formation energy from raw total energies at -1.102 eV/atom.

The space group is P4/mmm (No. 123) and the conventional cell measures 5.078, 5.078 and 5.601 Å, with angles of 90.00, 90.00 and 90.00 degrees. The inequivalent atoms are Ba at (0.000, 0.000, 0.000), Na at (0.500, 0.500, 0.500), Se at (0.000, 0.500, 0.500) and Br at (0.500, 0.500, 0.000).


No. 5
This record from the Alexandria database describes K4CuAg at its PBEsol-relaxed geometry. The functional is meta-GGA SCAN.

The calculation puts the calculated formation energy at 4.0 eV per formula unit.

The space group is F-43m (No. 216) and the conventional cell measures 9.901, 9.901 and 9.901 Å, with angles of 90.00, 90.00 and 90.00 degrees. The inequivalent atoms are K at (0.125, 0.125, 0.125), Cu at (0.000, 0.000, 0.500) and Ag at (0.250, 0.250, 0.750).


No. 6
This record from the Alexandria database describes MnBeAs at its PBEsol-relaxed geometry. The functional is meta-GGA SCAN.

The calculation puts the calculated formation energy at -0.6 eV per formula unit.

The space group is I4mm (No. 107) and the conventional cell measures 2.956, 2.956 and 7.321 Å, with angles of 90.00, 90.00 and 90.00 degrees. The inequivalent atoms are Mn at (0.000, 0.000, 0.000), Be at (0.000, 0.000, 0.339) and As at (0.000, 0.000, 0.666).


No. 7
This record from the Alexandria database describes Na3YAg at its PBEsol-relaxed geometry. The functional is meta-GGA SCAN.

The calculation puts the calculated formation energy at 6.1 eV per formula unit.

The space group is Pm-3m (No. 221) and the conventional cell measures 6.328, 6.328 and 6.328 Å, with angles of 90.00, 90.00 and 90.00 degrees. The inequivalent atoms are Na at (0.000, 0.000, 0.500), Y at (0.000, 0.000, 0.000) and Ag at (0.500, 0.500, 0.500).


No. 8
This record from the Alexandria database describes K2BaSc at its PBEsol-relaxed geometry. The functional is meta-GGA SCAN.

The calculation puts the calculated formation energy at 2.2 eV per formula unit.

The space group is I-4m2 (No. 119) and the conventional cell measures 6.499, 6.499 and 9.216 Å, with angles of 90.00, 90.00 and 90.00 degrees. The inequivalent atoms are K at (0.000, 0.000, 0.000), K at (0.000, 0.500, 0.250), Ba at (0.000, 0.500, 0.750) and Sc at (0.000, 0.000, 0.500).


No. 9
This record from the Alexandria database describes SrAl3As at its PBEsol-relaxed geometry. The functional is meta-GGA SCAN.

The calculation puts the calculated formation energy at 8.6 eV per formula unit.

The space group is Pm-3m (No. 221) and the conventional cell measures 5.612, 5.612 and 5.612 Å, with angles of 90.00, 90.00 and 90.00 degrees. The inequivalent atoms are Sr at (0.000, 0.000, 0.000), Al at (0.000, 0.000, 0.500) and As at (0.500, 0.500, 0.500).


No. 10
This record from the Alexandria database describes Li2TcCl at its PBEsol-relaxed geometry. The functional is meta-GGA SCAN.

The calculation puts the formation energy from raw total energies at 0.063 eV/atom.

The space group is Cmmm (No. 65) and the conventional cell measures 4.774, 8.545 and 2.718 Å, with angles of 90.00, 90.00 and 90.00 degrees. The inequivalent atoms are Li at (0.250, 0.250, 0.000), Tc at (0.000, 0.000, 0.500) and Cl at (0.000, 0.500, 0.500).


No. 11
This record from the Alexandria database describes BaZn2 at its PBEsol-relaxed geometry. The functional is meta-GGA SCAN.

The calculation puts the calculated formation energy at -0.5 eV per formula unit.

The space group is Cm (No. 8) and the conventional cell measures 11.748, 4.430 and 6.927 Å, with angles of 90.00, 110.97 and 90.00 degrees. The inequivalent atoms are Ba at (0.000, 0.000, 0.000), Ba at (0.152, 0.500, 0.585), Zn at (0.229, 0.500, 0.102), Zn at (0.334, 0.000, 0.202), Zn at (0.373, 0.000, 0.594) and Zn at (0.405, 0.500, 0.442).


No. 12
This record from the Alexandria database describes ReTcP at its PBEsol-relaxed geometry. The functional is meta-GGA SCAN.

The calculation puts the calculated formation energy at 1.0 eV per formula unit.

The space group is Fmm2 (No. 42) and the conventional cell measures 2.914, 4.747 and 11.943 Å, with angles of 90.00, 90.00 and 90.00 degrees. The inequivalent atoms are Re at (0.000, 0.000, 0.000), Tc at (0.000, 0.000, 0.308) and P at (0.000, 0.000, 0.656).


No. 13
This record from the Alexandria database describes Sb4TeBr at its PBEsol-relaxed geometry. The functional is meta-GGA SCAN.

The calculation puts the formation energy from raw total energies at 0.298 eV/atom.

The space group is F-43m (No. 216) and the conventional cell measures 8.691, 8.691 and 8.691 Å, with angles of 90.00, 90.00 and 90.00 degrees. The inequivalent atoms are Sb at (0.123, 0.123, 0.123), Te at (0.000, 0.000, 0.500) and Br at (0.250, 0.250, 0.750).


No. 14
This record from the Alexandria database describes Re2TeAs at its PBEsol-relaxed geometry. The functional is meta-GGA SCAN.

The calculation puts the formation energy from raw total energies at 0.816 eV/atom.

The space group is Imm2 (No. 44) and the conventional cell measures 3.151, 4.324 and 9.688 Å, with angles of 90.00, 90.00 and 90.00 degrees. The inequivalent atoms are Re at (0.000, 0.000, 0.000), Re at (0.000, 0.500, 0.233), Te at (0.000, 0.500, 0.762) and As at (0.000, 0.000, 0.528).


No. 15
This record from the Alexandria database describes Cu2SiNi at its PBEsol-relaxed geometry. The functional is meta-GGA SCAN.

The calculation puts the formation energy from raw total energies at -0.167 eV/atom.

The space group is Pm (No. 6) and the conventional cell measures 2.561, 3.735 and 4.864 Å, with angles of 90.00, 104.50 and 90.00 degrees. The inequivalent atoms are Cu at (0.000, 0.000, 0.000), Cu at (0.401, 0.500, 0.796), Si at (0.256, 0.000, 0.497) and Ni at (0.672, 0.500, 0.323).


No. 16
This record from the Alexandria database describes La2AlGeF at its PBEsol-relaxed geometry. The functional is meta-GGA SCAN.

The calculation puts the formation energy from raw total energies at -0.485 eV/atom.

The space group is P4/mmm (No. 123) and the conventional cell measures 5.658, 5.658 and 4.500 Å, with angles of 90.00, 90.00 and 90.00 degrees. The inequivalent atoms are La at (0.000, 0.500, 0.000), Al at (0.000, 0.000, 0.000), Ge at (0.000, 0.000, 0.500) and F at (0.500, 0.500, 0.500).


No. 17
This record from the Alexandria database describes Ta6Mo at its PBEsol-relaxed geometry. The functional is meta-GGA SCAN.

The calculation puts the calculated formation energy at -0.4 eV per formula unit.

The space group is I4/mmm (No. 139) and the conventional cell measures 3.246, 3.246 and 22.895 Å, with angles of 90.00, 90.00 and 90.00 degrees. The inequivalent atoms are Ta at (0.000, 0.000, 0.068), Ta at (0.000, 0.000, 0.214), Ta at (0.000, 0.000, 0.358) and Mo at (0.000, 0.000, 0.500).


No. 18
This record from the Alexandria database describes Ag2BiSbTe4 at its PBEsol-relaxed geometry. The functional is meta-GGA SCAN.

The calculation puts the formation energy from raw total energies at -0.063 eV/atom.

The space group is I-4m2 (No. 119) and the conventional cell measures 6.069, 6.069 and 12.033 Å, with angles of 90.00, 90.00 and 90.00 degrees. The inequivalent atoms are Ag at (0.000, 0.000, 0.000), Ag at (0.000, 0.500, 0.250), Bi at (0.000, 0.500, 0.750), Sb at (0.000, 0.000, 0.500), Te at (0.000, 0.000, 0.246) and Te at (0.000, 0.500, 0.009).


No. 19
This record from the Alexandria database describes Mg14MnCuO16 at its PBEsol-relaxed geometry. The functional is meta-GGA SCAN.

The calculation puts the formation energy from raw total energies at -2.795 eV/atom.

The space group is P4/mmm (No. 123) and the conventional cell measures 8.485, 8.485 and 4.194 Å, with angles of 90.00, 90.00 and 90.00 degrees. The inequivalent atoms are Mg at (0.000, 0.247, 0.000), Mg at (0.000, 0.500, 0.500), Mg at (0.246, 0.246, 0.500), Mg at (0.246, 0.500, 0.000), Mn at (0.500, 0.500, 0.500), Cu at (0.000, 0.000, 0.500), O at (0.000, 0.000, 0.000), O at (0.000, 0.259, 0.500), O at (0.000, 0.500, 0.000), O at (0.251, 0.251, 0.000), O at (0.252, 0.500, 0.500) and O at (0.500, 0.500, 0.000).


No. 20
This record from the Alexandria database describes MgZnPb2 at its PBEsol-relaxed geometry. The functional is meta-GGA SCAN.

The calculation puts the calculated formation energy at 0.0 eV per formula unit.

The space group is P4mm (No. 99) and the conventional cell measures 3.525, 3.525 and 7.731 Å, with angles of 90.00, 90.00 and 90.00 degrees. The inequivalent atoms are Mg at (0.000, 0.000, 0.000), Zn at (0.500, 0.500, 0.818), Pb at (0.000, 0.000, 0.586) and Pb at (0.500, 0.500, 0.251).